A relaxed structure of AcSmAgTe. Source: the Alexandria database, functional PBE.

The theoretical density is 8.479 g/cm³. As for the density of states at the Fermi level: 1.2097 states/eV/atom. The calculation puts the energy relative to the elements, uncorrected at -600 meV/atom. As for the total magnetic moment: 1.180 μB per formula unit.

Lattice parameters (Å, degrees): 7.830 7.830 7.830 90.00 90.00 90.00
Space group F-43m (No. 216)
One atom of each set of equivalent atoms:
Ac1 0.000 0.000 0.000
Sm1 0.000 0.000 0.500
Ag1 0.250 0.250 0.250
Te1 0.250 0.250 0.750

---

A relaxed structure of AcSm2AgTe5. Source: the Alexandria database, functional PBE.

The theoretical density is 7.465 g/cm³. As for the density of states at the Fermi level: 0.0671 states/eV/atom. The calculation puts the energy relative to the elements, uncorrected at -1147 meV/atom. As for the total magnetic moment: 0.000 μB per formula unit.

Lattice parameters (Å, degrees): 8.547 8.547 15.513 90.00 90.00 90.00
Space group I4/mcm (No. 140)
One atom of each set of equivalent atoms:
Ac1 0.000 0.000 0.250
Sm1 0.149 0.351 0.000
Ag1 0.000 0.500 0.250
Te1 0.000 0.000 0.000
Te2 0.170 0.330 0.363

---

A relaxed structure of AcSmYAg. Source: the Alexandria database, functional PBE.

The uncorrected energy comes out at -4.367 eV/atom. The theoretical density is 7.641 g/cm³. As for the density of states at the Fermi level: 1.5788 states/eV/atom. As for the total magnetic moment: 0.000 μB per formula unit.

Lattice parameters (Å, degrees): 7.932 7.932 7.932 90.00 90.00 90.00
Space group F-43m (No. 216)
One atom of each set of equivalent atoms:
Ac1 0.000 0.000 0.000
Sm1 0.250 0.250 0.250
Y1 0.250 0.250 0.750
Ag1 0.000 0.000 0.500

---

A relaxed structure of AcSmZnAg. Source: the Alexandria database, functional PBE.

The uncorrected energy comes out at -3.478 eV/atom. The theoretical density is 8.201 g/cm³. As for the density of states at the Fermi level: 0.8212 states/eV/atom. As for the total magnetic moment: 0.001 μB per formula unit.

Lattice parameters (Å, degrees): 7.640 7.640 7.640 90.00 90.00 90.00
Space group F-43m (No. 216)
One atom of each set of equivalent atoms:
Ac1 0.000 0.000 0.000
Sm1 0.000 0.000 0.500
Zn1 0.250 0.250 0.750
Ag1 0.250 0.250 0.250

---

A relaxed structure of AcSmZnAg. Source: the Alexandria database, functional PBE.

The uncorrected energy comes out at -3.508 eV/atom. The theoretical density is 8.301 g/cm³. As for the density of states at the Fermi level: 0.9428 states/eV/atom. As for the total magnetic moment: 0.000 μB per formula unit.

Lattice parameters (Å, degrees): 3.814 3.814 7.573 90.00 90.00 90.00
Space group P4mm (No. 99)
One atom of each set of equivalent atoms:
Ac1 0.000 0.000 0.000
Sm1 0.000 0.000 0.488
Zn1 0.500 0.500 0.272
Ag1 0.500 0.500 0.714

---

A relaxed structure of Ac4AgSn. Source: the Alexandria database, functional PBE.

The uncorrected energy comes out at -4.037 eV/atom. The theoretical density is 7.985 g/cm³. As for the density of states at the Fermi level: 1.0806 states/eV/atom. As for the total magnetic moment: 0.000 μB per formula unit.

Lattice parameters (Å, degrees): 17.890 6.719 8.145 90.00 105.42 90.00
Space group C2/c (No. 15)
One atom of each set of equivalent atoms:
Ac1 0.078 0.119 0.450
Ac2 0.159 0.394 0.121
Ag1 0.250 0.250 0.500
Sn1 0.000 0.376 0.750

---

theoretical density of number 2 (AcSm2AgTe5)?
7.465 g/cm³

---

What is the theoretical density in the third record?
7.641 g/cm³

---

What is the total magnetic moment in the fourth record?
0.001 μB per formula unit